# Na2Hg2Au PBE relaxed
# SG: C2/m (12)
# Formation energy from the elements: -0.24 eV per atom
# Energy above the lowest structure with this stoichiometry: 0 meV/atom
data_Na2Hg2Au
_space_group_name_H-M_alt 'P 1'
_space_group_IT_number 1
_cell_length_a 6.233
_cell_length_b 6.233
_cell_length_c 10.566
_cell_angle_alpha 108.86
_cell_angle_beta 108.86
_cell_angle_gamma 42.59
loop_
_space_group_symop_operation_xyz
'x,y,z'
loop_
_atom_site_label
_atom_site_type_symbol
_atom_site_fract_x
_atom_site_fract_y
_atom_site_fract_z
Na1 Na 0.104 0.104 0.394
Na2 Na 0.177 0.177 0.079
Na3 Na 0.823 0.823 0.921
Na4 Na 0.896 0.896 0.606
Hg1 Hg 0.390 0.390 0.374
Hg2 Hg 0.477 0.477 0.133
Hg3 Hg 0.523 0.523 0.867
Hg4 Hg 0.610 0.610 0.626
Au1 Au 0.268 0.268 0.709
Au2 Au 0.732 0.732 0.291

=====

# Na7Hg3Au2 PBE relaxed
# SG: Cmmm (65)
# Formation energy from the elements: -0.16 eV per atom
data_Na7Hg3Au2
_space_group_name_H-M_alt 'P 1'
_space_group_IT_number 1
_cell_length_a 13.306
_cell_length_b 13.306
_cell_length_c 5.029
_cell_angle_alpha 90.00
_cell_angle_beta 90.00
_cell_angle_gamma 158.09
loop_
_space_group_symop_operation_xyz
'x,y,z'
loop_
_atom_site_label
_atom_site_type_symbol
_atom_site_fract_x
_atom_site_fract_y
_atom_site_fract_z
Na1 Na 0.000 0.000 0.000
Na2 Na 0.091 0.909 0.500
Na3 Na 0.278 0.722 0.000
Na4 Na 0.413 0.587 0.000
Na5 Na 0.587 0.413 0.000
Na6 Na 0.722 0.278 0.000
Na7 Na 0.909 0.091 0.500
Hg1 Hg 0.339 0.661 0.500
Hg2 Hg 0.500 0.500 0.500
Hg3 Hg 0.661 0.339 0.500
Au1 Au 0.156 0.844 0.000
Au2 Au 0.844 0.156 0.000

=====

# Na2Hg2Au PBE relaxed
# SG: P4/mbm (127)
# Formation energy from the elements: -0.11 eV per atom
# Energy above the lowest structure with this stoichiometry: 136 meV/atom
data_Na2Hg2Au
_space_group_name_H-M_alt 'P 1'
_space_group_IT_number 1
_cell_length_a 7.663
_cell_length_b 7.663
_cell_length_c 4.544
_cell_angle_alpha 90.00
_cell_angle_beta 90.00
_cell_angle_gamma 90.00
loop_
_space_group_symop_operation_xyz
'x,y,z'
loop_
_atom_site_label
_atom_site_type_symbol
_atom_site_fract_x
_atom_site_fract_y
_atom_site_fract_z
Na1 Na 0.155 0.345 0.000
Na2 Na 0.345 0.845 0.000
Na3 Na 0.655 0.155 0.000
Na4 Na 0.845 0.655 0.000
Hg1 Hg 0.149 0.649 0.500
Hg2 Hg 0.351 0.149 0.500
Hg3 Hg 0.649 0.851 0.500
Hg4 Hg 0.851 0.351 0.500
Au1 Au 0.000 0.000 0.000
Au2 Au 0.500 0.500 0.000

=====

# Na2HgAu2 PBE relaxed
# SG: C2/c (15)
# Formation energy from the elements: -0.30 eV per atom
# Energy above the lowest structure with this stoichiometry: 0 meV/atom
data_Na2HgAu2
_space_group_name_H-M_alt 'P 1'
_space_group_IT_number 1
_cell_length_a 5.625
_cell_length_b 5.625
_cell_length_c 8.853
_cell_angle_alpha 104.14
_cell_angle_beta 104.14
_cell_angle_gamma 61.48
loop_
_space_group_symop_operation_xyz
'x,y,z'
loop_
_atom_site_label
_atom_site_type_symbol
_atom_site_fract_x
_atom_site_fract_y
_atom_site_fract_z
Na1 Na 0.015 0.292 0.154
Na2 Na 0.292 0.015 0.654
Na3 Na 0.708 0.985 0.346
Na4 Na 0.985 0.708 0.846
Hg1 Hg 0.299 0.701 0.250
Hg2 Hg 0.701 0.299 0.750
Au1 Au 0.241 0.497 0.497
Au2 Au 0.497 0.241 0.997
Au3 Au 0.503 0.759 0.003
Au4 Au 0.759 0.503 0.503

=====

# Na6HgAu PBE relaxed
# SG: P-1 (2)
# Formation energy from the elements: -0.15 eV per atom
# Energy above the lowest structure with this stoichiometry: 7 meV/atom
data_Na6HgAu
_space_group_name_H-M_alt 'P 1'
_space_group_IT_number 1
_cell_length_a 5.992
_cell_length_b 5.992
_cell_length_c 6.006
_cell_angle_alpha 91.12
_cell_angle_beta 91.11
_cell_angle_gamma 91.10
loop_
_space_group_symop_operation_xyz
'x,y,z'
loop_
_atom_site_label
_atom_site_type_symbol
_atom_site_fract_x
_atom_site_fract_y
_atom_site_fract_z
Na1 Na 0.003 0.006 0.256
Na2 Na 0.245 0.498 0.994
Na3 Na 0.493 0.745 0.498
Na4 Na 0.507 0.255 0.502
Na5 Na 0.755 0.502 0.006
Na6 Na 0.997 0.994 0.744
Hg1 Hg 0.500 0.000 0.000
Au1 Au 0.000 0.500 0.500

=====

# Na8Hg3Au2 PBE relaxed
# SG: Cmmm (65)
# Formation energy from the elements: -0.20 eV per atom
data_Na8Hg3Au2
_space_group_name_H-M_alt 'P 1'
_space_group_IT_number 1
_cell_length_a 8.804
_cell_length_b 8.804
_cell_length_c 5.375
_cell_angle_alpha 90.00
_cell_angle_beta 90.00
_cell_angle_gamma 119.27
loop_
_space_group_symop_operation_xyz
'x,y,z'
loop_
_atom_site_label
_atom_site_type_symbol
_atom_site_fract_x
_atom_site_fract_y
_atom_site_fract_z
Na1 Na 0.108 0.892 0.000
Na2 Na 0.173 0.420 0.500
Na3 Na 0.311 0.689 0.000
Na4 Na 0.420 0.173 0.500
Na5 Na 0.580 0.827 0.500
Na6 Na 0.689 0.311 0.000
Na7 Na 0.827 0.580 0.500
Na8 Na 0.892 0.108 0.000
Hg1 Hg 0.000 0.000 0.500
Hg2 Hg 0.329 0.329 0.000
Hg3 Hg 0.671 0.671 0.000
Au1 Au 0.211 0.789 0.500
Au2 Au 0.789 0.211 0.500

=====

# Na2HgAu2 PBE relaxed
# SG: P4/mbm (127)
# Formation energy from the elements: -0.17 eV per atom
# Energy above the lowest structure with this stoichiometry: 121 meV/atom
data_Na2HgAu2
_space_group_name_H-M_alt 'P 1'
_space_group_IT_number 1
_cell_length_a 8.847
_cell_length_b 8.847
_cell_length_c 2.939
_cell_angle_alpha 90.00
_cell_angle_beta 90.00
_cell_angle_gamma 90.00
loop_
_space_group_symop_operation_xyz
'x,y,z'
loop_
_atom_site_label
_atom_site_type_symbol
_atom_site_fract_x
_atom_site_fract_y
_atom_site_fract_z
Na1 Na 0.174 0.326 0.000
Na2 Na 0.326 0.826 0.000
Na3 Na 0.674 0.174 0.000
Na4 Na 0.826 0.674 0.000
Hg1 Hg 0.000 0.000 0.000
Hg2 Hg 0.500 0.500 0.000
Au1 Au 0.120 0.620 0.500
Au2 Au 0.380 0.120 0.500
Au3 Au 0.620 0.880 0.500
Au4 Au 0.880 0.380 0.500

=====

# Na3Hg12Au PBE relaxed
# SG: P4/mmm (123)
# Formation energy from the elements: -0.11 eV per atom
data_Na3Hg12Au
_space_group_name_H-M_alt 'P 1'
_space_group_IT_number 1
_cell_length_a 4.692
_cell_length_b 4.692
_cell_length_c 17.991
_cell_angle_alpha 90.00
_cell_angle_beta 90.00
_cell_angle_gamma 90.00
loop_
_space_group_symop_operation_xyz
'x,y,z'
loop_
_atom_site_label
_atom_site_type_symbol
_atom_site_fract_x
_atom_site_fract_y
_atom_site_fract_z
Na1 Na 0.000 0.000 0.000
Na2 Na 0.000 0.000 0.258
Na3 Na 0.000 0.000 0.742
Hg1 Hg 0.000 0.500 0.128
Hg2 Hg 0.000 0.500 0.383
Hg3 Hg 0.000 0.500 0.617
Hg4 Hg 0.000 0.500 0.872
Hg5 Hg 0.500 0.000 0.128
Hg6 Hg 0.500 0.000 0.383
Hg7 Hg 0.500 0.000 0.617
Hg8 Hg 0.500 0.000 0.872
Hg9 Hg 0.500 0.500 0.000
Hg10 Hg 0.500 0.500 0.259
Hg11 Hg 0.500 0.500 0.500
Hg12 Hg 0.500 0.500 0.741
Au1 Au 0.000 0.000 0.500

=====

# Na6HgAu2 PBE relaxed
# SG: P2_1/c (14)
# Formation energy from the elements: -0.21 eV per atom
# Energy above the lowest structure with this stoichiometry: 29 meV/atom
data_Na6HgAu2
_space_group_name_H-M_alt 'P 1'
_space_group_IT_number 1
_cell_length_a 4.981
_cell_length_b 9.617
_cell_length_c 10.841
_cell_angle_alpha 90.00
_cell_angle_beta 117.35
_cell_angle_gamma 90.00
loop_
_space_group_symop_operation_xyz
'x,y,z'
loop_
_atom_site_label
_atom_site_type_symbol
_atom_site_fract_x
_atom_site_fract_y
_atom_site_fract_z
Na1 Na 0.031 0.186 0.029
Na2 Na 0.031 0.314 0.529
Na3 Na 0.314 0.029 0.814
Na4 Na 0.314 0.471 0.314
Na5 Na 0.368 0.133 0.368
Na6 Na 0.368 0.367 0.868
Na7 Na 0.632 0.633 0.132
Na8 Na 0.632 0.867 0.632
Na9 Na 0.686 0.529 0.686
Na10 Na 0.686 0.971 0.186
Na11 Na 0.969 0.686 0.471
Na12 Na 0.969 0.814 0.971
Hg1 Hg 0.000 0.000 0.500
Hg2 Hg 0.000 0.500 0.000
Au1 Au 0.299 0.700 0.799
Au2 Au 0.299 0.800 0.299
Au3 Au 0.701 0.200 0.701
Au4 Au 0.701 0.300 0.201

=====

# Na2HgAu2 PBE relaxed
# SG: P4/mbm (127)
# Formation energy from the elements: -0.27 eV per atom
# Energy above the lowest structure with this stoichiometry: 22 meV/atom
data_Na2HgAu2
_space_group_name_H-M_alt 'P 1'
_space_group_IT_number 1
_cell_length_a 7.467
_cell_length_b 7.467
_cell_length_c 4.231
_cell_angle_alpha 90.00
_cell_angle_beta 90.00
_cell_angle_gamma 90.00
loop_
_space_group_symop_operation_xyz
'x,y,z'
loop_
_atom_site_label
_atom_site_type_symbol
_atom_site_fract_x
_atom_site_fract_y
_atom_site_fract_z
Na1 Na 0.167 0.333 0.000
Na2 Na 0.333 0.833 0.000
Na3 Na 0.667 0.167 0.000
Na4 Na 0.833 0.667 0.000
Hg1 Hg 0.000 0.000 0.500
Hg2 Hg 0.500 0.500 0.500
Au1 Au 0.132 0.632 0.500
Au2 Au 0.368 0.132 0.500
Au3 Au 0.632 0.868 0.500
Au4 Au 0.868 0.368 0.500

=====

# Na3HgAu2 PBE relaxed
# SG: P4/mmm (123)
# Formation energy from the elements: -0.27 eV per atom
data_Na3HgAu2
_space_group_name_H-M_alt 'P 1'
_space_group_IT_number 1
_cell_length_a 3.663
_cell_length_b 3.663
_cell_length_c 10.368
_cell_angle_alpha 90.00
_cell_angle_beta 90.00
_cell_angle_gamma 90.00
loop_
_space_group_symop_operation_xyz
'x,y,z'
loop_
_atom_site_label
_atom_site_type_symbol
_atom_site_fract_x
_atom_site_fract_y
_atom_site_fract_z
Na1 Na 0.000 0.000 0.000
Na2 Na 0.000 0.000 0.313
Na3 Na 0.000 0.000 0.687
Hg1 Hg 0.500 0.500 0.500
Au1 Au 0.500 0.500 0.156
Au2 Au 0.500 0.500 0.844

=====

# Na5HgAu2 PBE relaxed
# SG: I4/mcm (140)
# Formation energy from the elements: -0.24 eV per atom
data_Na5HgAu2
_space_group_name_H-M_alt 'P 1'
_space_group_IT_number 1
_cell_length_a 8.919
_cell_length_b 8.919
_cell_length_c 8.919
_cell_angle_alpha 127.90
_cell_angle_beta 127.90
_cell_angle_gamma 76.78
loop_
_space_group_symop_operation_xyz
'x,y,z'
loop_
_atom_site_label
_atom_site_type_symbol
_atom_site_fract_x
_atom_site_fract_y
_atom_site_fract_z
Na1 Na 0.000 0.000 0.000
Na2 Na 0.022 0.522 0.829
Na3 Na 0.193 0.022 0.500
Na4 Na 0.307 0.807 0.829
Na5 Na 0.478 0.307 0.500
Na6 Na 0.500 0.500 0.000
Na7 Na 0.522 0.693 0.500
Na8 Na 0.693 0.193 0.171
Na9 Na 0.807 0.978 0.500
Na10 Na 0.978 0.478 0.171
Hg1 Hg 0.250 0.250 0.000
Hg2 Hg 0.750 0.750 0.000
Au1 Au 0.129 0.371 0.500
Au2 Au 0.371 0.871 0.243
Au3 Au 0.629 0.129 0.757
Au4 Au 0.871 0.629 0.500

=====

# Na2Hg5Au PBE relaxed
# SG: Cmcm (63)
# Formation energy from the elements: -0.16 eV per atom
data_Na2Hg5Au
_space_group_name_H-M_alt 'P 1'
_space_group_IT_number 1
_cell_length_a 10.651
_cell_length_b 10.651
_cell_length_c 10.462
_cell_angle_alpha 90.00
_cell_angle_beta 90.00
_cell_angle_gamma 159.73
loop_
_space_group_symop_operation_xyz
'x,y,z'
loop_
_atom_site_label
_atom_site_type_symbol
_atom_site_fract_x
_atom_site_fract_y
_atom_site_fract_z
Na1 Na 0.000 0.000 0.000
Na2 Na 0.000 0.000 0.500
Na3 Na 0.171 0.829 0.750
Na4 Na 0.829 0.171 0.250
Hg1 Hg 0.220 0.780 0.111
Hg2 Hg 0.220 0.780 0.389
Hg3 Hg 0.375 0.625 0.020
Hg4 Hg 0.375 0.625 0.480
Hg5 Hg 0.418 0.582 0.750
Hg6 Hg 0.582 0.418 0.250
Hg7 Hg 0.625 0.375 0.520
Hg8 Hg 0.625 0.375 0.980
Hg9 Hg 0.780 0.220 0.611
Hg10 Hg 0.780 0.220 0.889
Au1 Au 0.446 0.554 0.250
Au2 Au 0.554 0.446 0.750

=====

# Na2Hg2Au PBE relaxed
# SG: I4_1/amd (141)
# Formation energy from the elements: -0.21 eV per atom
# Energy above the lowest structure with this stoichiometry: 37 meV/atom
data_Na2Hg2Au
_space_group_name_H-M_alt 'P 1'
_space_group_IT_number 1
_cell_length_a 12.891
_cell_length_b 12.891
_cell_length_c 12.891
_cell_angle_alpha 159.23
_cell_angle_beta 159.23
_cell_angle_gamma 29.55
loop_
_space_group_symop_operation_xyz
'x,y,z'
loop_
_atom_site_label
_atom_site_type_symbol
_atom_site_fract_x
_atom_site_fract_y
_atom_site_fract_z
Na1 Na 0.054 0.304 0.750
Na2 Na 0.304 0.054 0.250
Na3 Na 0.696 0.946 0.750
Na4 Na 0.946 0.696 0.250
Hg1 Hg 0.200 0.450 0.750
Hg2 Hg 0.450 0.200 0.250
Hg3 Hg 0.550 0.800 0.750
Hg4 Hg 0.800 0.550 0.250
Au1 Au 0.375 0.625 0.750
Au2 Au 0.625 0.375 0.250

=====

# Na2Hg4Au PBE relaxed
# SG: I4/mmm (139)
# Formation energy from the elements: -0.07 eV per atom
# Energy above the lowest structure with this stoichiometry: 0 meV/atom
data_Na2Hg4Au
_space_group_name_H-M_alt 'P 1'
_space_group_IT_number 1
_cell_length_a 8.629
_cell_length_b 8.629
_cell_length_c 8.629
_cell_angle_alpha 143.36
_cell_angle_beta 143.36
_cell_angle_gamma 52.79
loop_
_space_group_symop_operation_xyz
'x,y,z'
loop_
_atom_site_label
_atom_site_type_symbol
_atom_site_fract_x
_atom_site_fract_y
_atom_site_fract_z
Na1 Na 0.117 0.117 0.000
Na2 Na 0.883 0.883 0.000
Hg1 Hg 0.000 0.500 0.500
Hg2 Hg 0.310 0.310 0.000
Hg3 Hg 0.500 0.000 0.500
Hg4 Hg 0.690 0.690 0.000
Au1 Au 0.500 0.500 0.000

=====

# Na3Hg4Au PBE relaxed
# SG: C2/m (12)
# Formation energy from the elements: -0.20 eV per atom
# Energy above the lowest structure with this stoichiometry: 0 meV/atom
data_Na3Hg4Au
_space_group_name_H-M_alt 'P 1'
_space_group_IT_number 1
_cell_length_a 7.475
_cell_length_b 7.475
_cell_length_c 6.106
_cell_angle_alpha 102.57
_cell_angle_beta 102.57
_cell_angle_gamma 38.90
loop_
_space_group_symop_operation_xyz
'x,y,z'
loop_
_atom_site_label
_atom_site_type_symbol
_atom_site_fract_x
_atom_site_fract_y
_atom_site_fract_z
Na1 Na 0.000 0.000 0.000
Na2 Na 0.282 0.282 0.206
Na3 Na 0.718 0.718 0.794
Hg1 Hg 0.119 0.119 0.546
Hg2 Hg 0.355 0.355 0.772
Hg3 Hg 0.645 0.645 0.228
Hg4 Hg 0.881 0.881 0.454
Au1 Au 0.500 0.500 0.500

=====

# Na4Hg3Au PBE relaxed
# SG: Pmm2 (25)
# Formation energy from the elements: -0.25 eV per atom
# Energy above the lowest structure with this stoichiometry: 8 meV/atom
data_Na4Hg3Au
_space_group_name_H-M_alt 'P 1'
_space_group_IT_number 1
_cell_length_a 3.881
_cell_length_b 4.848
_cell_length_c 11.389
_cell_angle_alpha 90.00
_cell_angle_beta 90.00
_cell_angle_gamma 90.00
loop_
_space_group_symop_operation_xyz
'x,y,z'
loop_
_atom_site_label
_atom_site_type_symbol
_atom_site_fract_x
_atom_site_fract_y
_atom_site_fract_z
Na1 Na 0.000 0.000 0.000
Na2 Na 0.000 0.500 0.282
Na3 Na 0.500 0.000 0.474
Na4 Na 0.500 0.500 0.792
Hg1 Hg 0.000 0.000 0.717
Hg2 Hg 0.000 0.500 0.560
Hg3 Hg 0.500 0.500 0.064
Au1 Au 0.500 0.000 0.210

=====

# Na2HgAu2 PBE relaxed
# SG: I4/mmm (139)
# Formation energy from the elements: -0.21 eV per atom
# Energy above the lowest structure with this stoichiometry: 85 meV/atom
data_Na2HgAu2
_space_group_name_H-M_alt 'P 1'
_space_group_IT_number 1
_cell_length_a 8.959
_cell_length_b 8.959
_cell_length_c 8.959
_cell_angle_alpha 155.11
_cell_angle_beta 155.11
_cell_angle_gamma 35.48
loop_
_space_group_symop_operation_xyz
'x,y,z'
loop_
_atom_site_label
_atom_site_type_symbol
_atom_site_fract_x
_atom_site_fract_y
_atom_site_fract_z
Na1 Na 0.111 0.111 0.000
Na2 Na 0.889 0.889 0.000
Hg1 Hg 0.500 0.500 0.000
Au1 Au 0.250 0.750 0.500
Au2 Au 0.750 0.250 0.500

=====

# NaHg6Au2 PBE relaxed
# SG: C2/m (12)
# Formation energy from the elements: -0.03 eV per atom
data_NaHg6Au2
_space_group_name_H-M_alt 'P 1'
_space_group_IT_number 1
_cell_length_a 7.609
_cell_length_b 7.609
_cell_length_c 4.773
_cell_angle_alpha 108.24
_cell_angle_beta 108.24
_cell_angle_gamma 67.14
loop_
_space_group_symop_operation_xyz
'x,y,z'
loop_
_atom_site_label
_atom_site_type_symbol
_atom_site_fract_x
_atom_site_fract_y
_atom_site_fract_z
Na1 Na 0.000 0.000 0.000
Hg1 Hg 0.141 0.527 0.833
Hg2 Hg 0.282 0.718 0.500
Hg3 Hg 0.473 0.859 0.167
Hg4 Hg 0.527 0.141 0.833
Hg5 Hg 0.718 0.282 0.500
Hg6 Hg 0.859 0.473 0.167
Au1 Au 0.284 0.284 0.283
Au2 Au 0.716 0.716 0.717

=====

# NaNdHgAu PBE relaxed
# SG: F-43m (216)
# Formation energy from the elements: -0.47 eV per atom
data_NaNdHgAu
_space_group_name_H-M_alt 'P 1'
_space_group_IT_number 1
_cell_length_a 5.189
_cell_length_b 5.189
_cell_length_c 5.189
_cell_angle_alpha 60.00
_cell_angle_beta 60.00
_cell_angle_gamma 60.00
loop_
_space_group_symop_operation_xyz
'x,y,z'
loop_
_atom_site_label
_atom_site_type_symbol
_atom_site_fract_x
_atom_site_fract_y
_atom_site_fract_z
Na1 Na 0.000 0.000 0.000
Nd1 Nd 0.500 0.500 0.500
Hg1 Hg 0.250 0.250 0.250
Au1 Au 0.750 0.750 0.750